# 1
An optimized crystal structure of Sc2CrSb, computed with PBE.

For the size of the total moment, the calculation gives 4.159 μB per cell. For the uncorrected formation energy, the calculation gives 193 meV per atom.

It has space group R3m (No. 160, hexagonal axes), with a = 3.2878 Å, b = 3.2878 Å, c = 27.1260 Å, α = 90.00°, β = 90.00° and γ = 120.00°. The distinct sites, in fractional coordinates, are Sc at (0.0000, 0.0000, 0.0000), Sc at (0.0000, 0.0000, 0.2326), Cr at (0.0000, 0.0000, 0.4899) and Sb at (0.0000, 0.0000, 0.7558).

=====

# 2
An optimized crystal structure of ScCrSb2, computed with PBE.

For the size of the total moment, the calculation gives 6.985 μB per cell. As for the energy above the most stable polymorph in this dataset: 170.6 meV/atom. For the uncorrected formation energy, the calculation gives -157 meV per atom.

It has space group Cmmm (No. 65), with a = 4.231 Å, b = 5.565 Å, c = 7.537 Å, α = 90.00°, β = 90.00° and γ = 90.00°. The distinct sites, in fractional coordinates, are Sc at (0.000, 0.000, 0.000), Cr at (0.000, 0.000, 0.500) and Sb at (0.000, 0.500, 0.266).

=====

# 3
An optimized crystal structure of ScCrSb2, computed with PBE.

For the size of the total moment, the calculation gives 3.351 μB per cell. As for the energy above the most stable polymorph in this dataset: 55.4 meV/atom. For the uncorrected formation energy, the calculation gives -272 meV per atom.

It has space group P4mm (No. 99), with a = 4.011 Å, b = 4.011 Å, c = 5.790 Å, α = 90.00°, β = 90.00° and γ = 90.00°. The distinct sites, in fractional coordinates, are Sc at (0.000, 0.000, 0.000), Cr at (0.500, 0.500, 0.403), Sb at (0.000, 0.000, 0.492) and Sb at (0.500, 0.500, 0.907).

=====

# 4
An optimized crystal structure of Sc2CrSb, computed with PBE.

For the size of the total moment, the calculation gives 3.563 μB per cell. For the uncorrected formation energy, the calculation gives -102 meV per atom.

It has space group P4mm (No. 99), with a = 3.850 Å, b = 3.850 Å, c = 5.951 Å, α = 90.00°, β = 90.00° and γ = 90.00°. The distinct sites, in fractional coordinates, are Sc at (0.000, 0.000, 0.000), Sc at (0.500, 0.500, 0.287), Cr at (0.000, 0.000, 0.498) and Sb at (0.500, 0.500, 0.780).

=====

# 5
An optimized crystal structure of ScCrSb2, computed with PBE.

For the size of the total moment, the calculation gives 1.202 μB per cell. As for the energy above the most stable polymorph in this dataset: 270.7 meV/atom. For the uncorrected formation energy, the calculation gives -57 meV per atom.

It has space group P4/mmm (No. 123), with a = 3.291 Å, b = 3.291 Å, c = 7.344 Å, α = 90.00°, β = 90.00° and γ = 90.00°. The distinct sites, in fractional coordinates, are Sc at (0.000, 0.000, 0.000), Cr at (0.000, 0.000, 0.500) and Sb at (0.500, 0.500, 0.282).

=====

# 6
An optimized crystal structure of ScCr4Sb, computed with PBE.

For the size of the total moment, the calculation gives 0.000 μB per cell. For the uncorrected formation energy, the calculation gives 95 meV per atom.

It has space group F-43m (No. 216), with a = 7.032 Å, b = 7.032 Å, c = 7.032 Å, α = 90.00°, β = 90.00° and γ = 90.00°. The distinct sites, in fractional coordinates, are Sc at (0.000, 0.000, 0.000), Cr at (0.124, 0.124, 0.376) and Sb at (0.250, 0.250, 0.750).

=====

# 7
An optimized crystal structure of ScCrSb2, computed with PBE.

For the size of the total moment, the calculation gives 3.671 μB per cell. As for the energy above the most stable polymorph in this dataset: 104.7 meV/atom. For the uncorrected formation energy, the calculation gives -223 meV per atom.

It has space group Pm (No. 6), with a = 3.908 Å, b = 4.246 Å, c = 5.808 Å, α = 90.00°, β = 109.43° and γ = 90.00°. The distinct sites, in fractional coordinates, are Sc at (0.000, 0.000, 0.000), Cr at (0.204, 0.500, 0.409), Sb at (0.463, 0.500, 0.925) and Sb at (0.725, 0.000, 0.453).

=====

# 8
An optimized crystal structure of ScCrSbTe2, computed with PBE.

For the size of the total moment, the calculation gives 0.142 μB per cell. As for the energy above the most stable polymorph in this dataset: 668.8 meV/atom. For the uncorrected formation energy, the calculation gives 834 meV per atom.

It has space group P4/mmm (No. 123), with a = 5.446 Å, b = 5.446 Å, c = 5.499 Å, α = 90.00°, β = 90.00° and γ = 90.00°. The distinct sites, in fractional coordinates, are Sc at (0.000, 0.000, 0.000), Cr at (0.500, 0.500, 0.500), Sb at (0.000, 0.000, 0.500) and Te at (0.000, 0.500, 0.000).

=====

# 9
An optimized crystal structure of ScCrSb2Te, computed with PBE.

For the size of the total moment, the calculation gives 0.348 μB per cell. As for the energy above the most stable polymorph in this dataset: 758.2 meV/atom. For the uncorrected formation energy, the calculation gives 1010 meV per atom.

It has space group P4/mmm (No. 123), with a = 5.431 Å, b = 5.431 Å, c = 5.405 Å, α = 90.00°, β = 90.00° and γ = 90.00°. The distinct sites, in fractional coordinates, are Sc at (0.000, 0.000, 0.000), Cr at (0.500, 0.500, 0.500), Sb at (0.000, 0.500, 0.000) and Te at (0.000, 0.000, 0.500).

=====

# 10
An optimized crystal structure of ScCrSb2Te, computed with PBE.

For the size of the total moment, the calculation gives 2.566 μB per cell. As for the energy above the most stable polymorph in this dataset: 0.0 meV/atom. For the uncorrected formation energy, the calculation gives 252 meV per atom.

It has space group P4/mmm (No. 123), with a = 5.000 Å, b = 5.000 Å, c = 5.504 Å, α = 90.00°, β = 90.00° and γ = 90.00°. The distinct sites, in fractional coordinates, are Sc at (0.000, 0.000, 0.000), Cr at (0.500, 0.500, 0.500), Sb at (0.000, 0.500, 0.500) and Te at (0.500, 0.500, 0.000).

=====

# 11
An optimized crystal structure of ScCrSbTe2, computed with PBE.

For the size of the total moment, the calculation gives 3.246 μB per cell. As for the energy above the most stable polymorph in this dataset: 0.0 meV/atom. For the uncorrected formation energy, the calculation gives 165 meV per atom.

It has space group P4/mmm (No. 123), with a = 5.274 Å, b = 5.274 Å, c = 5.054 Å, α = 90.00°, β = 90.00° and γ = 90.00°. The distinct sites, in fractional coordinates, are Sc at (0.000, 0.000, 0.000), Cr at (0.500, 0.500, 0.500), Sb at (0.500, 0.500, 0.000) and Te at (0.000, 0.500, 0.500).

=====

# 12
An optimized crystal structure of ScV2CrSb, computed with PBE.

For the size of the total moment, the calculation gives 0.000 μB per cell. For the uncorrected formation energy, the calculation gives 504 meV per atom.

It has space group P4/mmm (No. 123), with a = 4.316 Å, b = 4.316 Å, c = 5.017 Å, α = 90.00°, β = 90.00° and γ = 90.00°. The distinct sites, in fractional coordinates, are Sc at (0.000, 0.000, 0.000), V at (0.000, 0.500, 0.500), Cr at (0.000, 0.000, 0.500) and Sb at (0.500, 0.500, 0.000).

=====

# 13
An optimized crystal structure of Sc2ZnCrSb, computed with PBE.

For the size of the total moment, the calculation gives 0.023 μB per cell. For the uncorrected formation energy, the calculation gives 236 meV per atom.

It has space group P4/mmm (No. 123), with a = 4.876 Å, b = 4.876 Å, c = 4.874 Å, α = 90.00°, β = 90.00° and γ = 90.00°. The distinct sites, in fractional coordinates, are Sc at (0.000, 0.500, 0.000), Zn at (0.000, 0.000, 0.500), Cr at (0.500, 0.500, 0.000) and Sb at (0.500, 0.500, 0.500).

=====

# 14
An optimized crystal structure of Cr2SbSe, computed with PBE.

For the size of the total moment, the calculation gives 14.106 μB per cell. As for the energy above the most stable polymorph in this dataset: 28.3 meV/atom. For the uncorrected formation energy, the calculation gives 13 meV per atom.

It has space group C2/m (No. 12), with a = 6.583 Å, b = 3.792 Å, c = 6.820 Å, α = 90.00°, β = 108.76° and γ = 90.00°. The distinct sites, in fractional coordinates, are Cr at (0.245, 0.000, 0.234), Sb at (0.000, 0.000, 0.500) and Se at (0.000, 0.500, 0.000).